1.
DFT (GGA-PBE) results for an optimized crystal structure of Th2Co5B.

abc: 5.4367 5.4367 8.0636
angles: 90.00 90.00 90.00
Closest atoms and distances in Å follow each position.
Space group I4mm (No. 107)
Inequivalent atoms, fractional coordinates:
Th 0.0000 0.5000 0.0000  10 Co 2.72-2.80
Co 0.0000 0.0000 0.0000  1 B 2.13
Co 0.2418 0.2418 0.2482  1 B 1.99
B 0.0000 0.0000 0.7355  5 Co 1.99-2.13

Output
The value obtained for the formation energy is -0.245 eV per atom.

---

2.
DFT (GGA-PBE) results for an optimized crystal structure of TePt2Cl.

abc: 3.5110 3.5722 7.4750
angles: 90.00 102.56 90.00
Closest atoms and distances in Å follow each position.
Space group Pm (No. 6)
Inequivalent atoms, fractional coordinates:
Te 0.0000 0.0000 0.0000  5 Pt 2.57-2.75
Pt 0.4283 0.5000 0.8455  4 Te 2.75, 4 Pt 2.89
Pt 0.8365 0.0000 0.6477  2 Cl 2.45, 1 Te 2.57
Cl 0.7302 0.5000 0.4187  2 Pt 2.45

Output
The energy above the most stable polymorph in this dataset comes out at 0.45 eV per formula unit. The value obtained for the formation energy (no corrections) is -128 meV/atom.

---

3.
DFT (GGA-PBE) results for an optimized crystal structure of LaIrRu2.

abc: 2.8149 3.8818 6.6383
angles: 90.00 90.00 90.00
Closest atoms and distances in Å follow each position.
Space group Pmmm (No. 47)
Inequivalent atoms, fractional coordinates:
La 0.0000 0.0000 0.0000  2 La 2.81
Ir 0.0000 0.0000 0.5000  8 Ru 2.71, 2 Ir 2.81
Ru 0.5000 0.5000 0.3101  3 Ru 2.52-2.81, 4 Ir 2.71

Output
The value obtained for the formation energy is 0.191 eV per atom. The energy above the most stable polymorph in this dataset comes out at 0.20 eV per formula unit.

---

no.,raw total energy (Ry/atom),DOS(E_F) (states/eV/f.u.),calculated volume (Å³/f.u.)
1,-0.542,7.26,119.2
2,-0.323,2.19,91.5
3,-0.580,4.40,72.5